# Li2ErScTl4 | the Alexandria database | GGA-PBE | optimized geometry
data_Li2ErScTl4
_chemical_formula_sum 'Li6 Er3 Sc3 Tl12'
_cell_length_a 5.0923
_cell_length_b 5.0923
_cell_length_c 24.9203
_cell_angle_alpha 90.00
_cell_angle_beta 90.00
_cell_angle_gamma 120.00
_space_group_name_H-M_alt 'R -3 m'
_space_group_IT_number 166
_space_group_name_Hall '-R 3 2"'
loop_
_atom_site_label
_atom_site_type_symbol
_atom_site_fract_x
_atom_site_fract_y
_atom_site_fract_z
Li1 Li 0.0000 0.0000 0.2503
Er1 Er 0.0000 0.0000 0.5000
Sc1 Sc 0.0000 0.0000 0.0000
Tl1 Tl 0.0000 0.0000 0.1222
Tl2 Tl 0.0000 0.0000 0.3727
# * M_tot: 0.00 μB/atom
# * Fermi-level density of states: 6.2 states/eV per cell
# * calculated formation energy: -2.21 eV/f.u.

# Hg2IrBr | the Alexandria database | GGA-PBE | optimized geometry
data_Hg2IrBr
_chemical_formula_sum 'Hg4 Ir2 Br2'
_cell_length_a 3.005
_cell_length_b 4.512
_cell_length_c 13.315
_cell_angle_alpha 90.00
_cell_angle_beta 90.00
_cell_angle_gamma 90.00
_space_group_name_H-M_alt 'I m m m'
_space_group_IT_number 71
_space_group_name_Hall '-I 2 2'
loop_
_atom_site_label
_atom_site_type_symbol
_atom_site_fract_x
_atom_site_fract_y
_atom_site_fract_z
Hg1 Hg 0.000 0.000 0.187
Ir1 Ir 0.000 0.500 0.500
Br1 Br 0.000 0.500 0.000
# * M_tot: 0.00 μB/atom
# * Fermi-level density of states: 3.5 states/eV per cell
# * energy relative to the lowest polymorph listed for this composition: 0.149 eV/atom

# NdSmTh2 | the Alexandria database | GGA-PBE | optimized geometry
data_NdSmTh2
_chemical_formula_sum 'Nd1 Sm1 Th2'
_cell_length_a 5.041
_cell_length_b 5.041
_cell_length_c 5.211
_cell_angle_alpha 90.00
_cell_angle_beta 90.00
_cell_angle_gamma 90.00
_space_group_name_H-M_alt 'P 4/m m m'
_space_group_IT_number 123
_space_group_name_Hall '-P 4 2'
loop_
_atom_site_label
_atom_site_type_symbol
_atom_site_fract_x
_atom_site_fract_y
_atom_site_fract_z
Nd1 Nd 0.000 0.000 0.000
Sm1 Sm 0.500 0.500 0.000
Th1 Th 0.000 0.500 0.500
# * M_tot: 0.00 μB/atom
# * Fermi-level density of states: 6.2 states/eV per cell
# * calculated formation energy: 0.32 eV/f.u.
# * energy relative to the lowest polymorph listed for this composition: 0.051 eV/atom

- Look up the Fermi-level density of states of the third one.
  6.2 states/eV per cell

- Which formula does entry 2 have?
  Hg2IrBr